Computed, not measured: a relaxed IrRuBr2 crystal at the PBE level of DFT.

Lattice parameters (Å, degrees): 5.4072 5.4072 5.4072 148.31 118.53 70.82
Closest atoms and distances in Å follow each position.
Sites, in units of the cell vectors:
Ru  0.2500  0.7500  0.5000  4 Br 2.57
Br  0.4889  0.4889  0.0000  2 Ru 2.57, 2 Ir 2.73
Br  0.0111  0.0111  0.0000  2 Ru 2.57, 2 Ir 2.73
Ir  0.7500  0.2500  0.5000  4 Br 2.73, 2 Ir 2.95

Computed properties:
The calculation puts the uncorrected formation energy at 1.0564 eV per atom. The calculation puts the polymorph energy (0 for the lowest one) at 0.798 eV per atom. The value obtained for the spin magnetization is 0.00 μB per cell.